The following is a PBE-GGA calculation of a relaxed BaFeI5 crystal, from Alexandria.

Values from the calculation:
magnetic moment	5.0	μB/f.u.
crystal system	monoclinic
total energy	-3.40	eV/atom
raw formation energy	-814	meV/atom

Cell lengths 11.298, 12.843, 11.917 Å; angles 90.00, 117.45, 90.00 degrees
Space group C2/c (No. 15)
Asymmetric unit:
Ba (0.250, 0.250, 0.000) (multiplicity 4)
Fe (0.000, 0.090, 0.250) (multiplicity 4)
I (0.000, 0.369, 0.750) (multiplicity 4)
I (0.026, 0.206, 0.436) (multiplicity 8)
I (0.210, 0.021, 0.818) (multiplicity 8)

The following is a PBE-GGA calculation of a relaxed CaIn2Ru2 crystal, from Alexandria.

Values from the calculation:
formation enthalpy at 0 K	-0.020	eV/f.u.
magnetic moment	0.0	μB/f.u.
crystal system	tetragonal
excess energy over the best structure of this formula in the dataset	0	meV per atom
Fermi-level density of states	8.01	states/eV/f.u.
total energy	-5.21	eV/atom

Cell lengths 7.781, 7.781, 3.219 Å; angles 90.00, 90.00, 90.00 degrees
Space group P4/mbm (No. 127)
Asymmetric unit:
Ca (0.000, 0.000, 0.000) (multiplicity 2)
In (0.157, 0.343, 0.500) (multiplicity 4)
Ru (0.137, 0.637, 0.000) (multiplicity 4)

no.,ρ (g/cm3)
1,3.58
2,8.04